A plane-wave DFT calculation with PBE-GGA was carried out for a relaxed structure of Hf2CdSi.

The structure in extended XYZ format:
```
4
Lattice="0.000 3.396 3.396 3.396 0.000 3.396 3.396 3.396 0.000" Properties=species:S:1:pos:R:3 pbc="T T T"
Hf 0.000 0.000 0.000
Hf 5.094 5.094 5.094
Cd 1.698 1.698 1.698
Si 3.396 3.396 3.396
```

## Properties
uncorrected energy = -24.624 eV for the cell shown
magnetic moment = 0.03 μB per formula unit
space group = No. 216